NpBe4V PBE optimized geometry; size of the total moment = 0.868 μB/atom; E_form = 0.2047 eV/atom; E_tot = -5.956 eV/atom
1.0
0.000 3.304 3.304
3.304 0.000 3.304
3.304 3.304 0.000
Np Be V
1 4 1
Cartesian
0.000 0.000 0.000
2.496 2.496 2.496
4.112 4.112 2.496
4.112 2.496 4.112
2.496 4.112 4.112
4.956 4.956 4.956



KAlGe2Se6 PBE optimized geometry; formation energy without anion corrections = -530 kJ/mol of formula units; size of the total moment = 0.000 μB/atom; E_tot = -4.048 eV/atom
1.0
6.957 -6.441 0.000
6.957 6.441 0.000
-3.290 0.000 6.569
K Al Ge Se
2 2 4 12
Cartesian
4.490 4.050 4.926
6.135 -4.050 1.642
6.135 2.239 1.642
4.490 -2.239 4.926
0.281 1.115 5.493
1.926 -1.115 2.209
8.698 1.115 4.360
10.343 -1.115 1.075
1.663 0.431 0.262
3.905 3.145 1.953
0.018 -0.431 3.546
2.577 0.962 6.121
8.364 3.145 1.331
4.222 -0.962 2.837
6.403 0.962 3.731
2.260 -3.145 5.237
8.048 -0.962 0.447
10.606 0.431 3.023
6.719 -3.145 4.615
8.961 -0.431 6.307



ZrPaNiPd PBE optimized geometry; size of the total moment = 0.135 μB/atom; E_form = -0.2707 eV/atom; E_tot = -7.525 eV/atom
1.0
6.759 0.000 0.000
0.000 6.759 0.000
0.000 0.000 6.759
Zr Pa Ni Pd
4 4 4 4
Cartesian
0.000 0.000 0.000
0.000 3.379 3.379
3.379 0.000 3.379
3.379 3.379 0.000
0.000 0.000 3.379
0.000 3.379 0.000
3.379 0.000 0.000
3.379 3.379 3.379
1.690 1.690 5.069
1.690 5.069 1.690
5.069 1.690 1.690
5.069 5.069 5.069
1.690 1.690 1.690
1.690 5.069 5.069
5.069 1.690 5.069
5.069 5.069 1.690



LaHo6Sc2 PBE optimized geometry; excess energy over the best structure of this formula in the dataset = 273 meV/atom; size of the total moment = 0.000 μB/atom; E_form = 0.3832 eV/atom; E_tot = -4.623 eV/atom
1.0
3.595 2.075 6.279
-3.595 2.075 6.279
0.000 -4.151 6.279
La Ho Sc
1 6 2
Cartesian
0.000 0.000 0.000
-1.564 -0.903 10.988
-1.736 -1.002 14.763
1.564 -0.903 10.988
0.000 1.806 10.988
1.736 -1.002 14.763
0.000 2.005 14.763
0.000 0.000 4.913
0.000 0.000 8.256



Sr2BeCl PBE optimized geometry; formation energy without anion corrections = -224 kJ/mol of formula units; excess energy over the best structure of this formula in the dataset = 0 meV/atom; size of the total moment = 0.151 μB/atom; E_tot = -2.814 eV/atom
1.0
4.271 0.000 0.000
-2.136 3.699 0.000
0.000 0.000 23.808
Sr Be Cl
6 3 3
Cartesian
0.000 0.000 5.822
0.000 0.000 17.985
0.000 2.466 10.050
0.000 2.466 21.694
2.136 1.233 2.114
2.136 1.233 13.758
0.000 0.000 11.904
0.000 2.466 3.968
2.136 1.233 19.840
0.000 0.000 0.000
0.000 2.466 15.872
2.136 1.233 7.936



GdScCoIr PBE optimized geometry; size of the total moment = 1.893 μB/atom; E_form = -0.5216 eV/atom; E_tot = -9.616 eV/atom
1.0
6.621 0.000 0.000
0.000 6.621 0.000
0.000 0.000 6.621
Gd Sc Co Ir
4 4 4 4
Cartesian
0.000 0.000 0.000
0.000 3.311 3.311
3.311 0.000 3.311
3.311 3.311 0.000
0.000 0.000 3.311
0.000 3.311 0.000
3.311 0.000 0.000
3.311 3.311 3.311
1.655 1.655 1.655
1.655 4.966 4.966
4.966 1.655 4.966
4.966 4.966 1.655
1.655 1.655 4.966
1.655 4.966 1.655
4.966 1.655 1.655
4.966 4.966 4.966



EuTl2Pd PBE optimized geometry; size of the total moment = 1.766 μB/atom; E_form = -0.3076 eV/atom; E_tot = -5.358 eV/atom
1.0
3.598 0.000 0.000
0.000 3.598 0.000
0.000 0.000 7.588
Eu Tl Pd
1 2 1
Cartesian
0.000 0.000 0.000
1.799 1.799 2.240
1.799 1.799 5.349
0.000 0.000 3.794



CeNd3As3 PBE optimized geometry; size of the total moment = 0.138 μB/atom; E_form = -1.2431 eV/atom; E_tot = -6.127 eV/atom
1.0
9.016 0.000 0.000
0.000 9.016 0.000
0.000 0.000 9.016
Ce Nd As
4 12 12
Cartesian
0.614 3.895 5.122
3.895 5.122 0.614
5.122 0.614 3.895
8.403 8.403 8.403
0.602 5.110 8.414
1.651 1.651 1.651
1.656 7.360 2.852
2.852 1.656 7.360
2.857 7.365 6.160
3.906 3.906 3.906
5.110 8.414 0.602
6.160 2.857 7.365
6.165 6.165 6.165
7.360 2.852 1.656
7.365 6.160 2.857
8.414 0.602 5.110
0.011 6.741 5.625
1.116 4.498 2.276
2.232 7.900 9.006
2.276 1.116 4.498
3.392 4.519 6.784
4.498 2.276 1.116
4.519 6.784 3.392
5.625 0.011 6.741
6.741 5.625 0.011
6.784 3.392 4.519
7.900 9.006 2.232
9.006 2.232 7.900